A plane-wave DFT calculation with PBE+U was carried out for NpTiVO6 after structural relaxation.

Summary:
* density: 6.67 g cm⁻³
* spin magnetization: 8.000 μB per cell
* VASP energy: -9.04 eV per atom

extended XYZ file:
```
18
Lattice="5.306 0.000 0.000 -2.653 4.595 0.000 0.000 0.000 8.824" Properties=species:S:1:pos:R:3 pbc="T T T"
Np 0.000 3.063 2.206
Np 2.653 1.532 6.618
Ti 0.000 3.063 6.618
Ti 2.653 1.532 2.206
V 0.000 0.000 0.000
V 0.000 0.000 4.412
O -0.806 1.578 5.557
O -1.689 3.108 7.679
O 0.806 1.578 7.679
O -0.883 4.504 5.557
O 1.770 0.091 1.145
O 0.964 1.487 3.267
O 1.689 3.108 5.557
O 0.883 4.504 7.679
O 3.536 0.091 3.267
O 1.847 3.017 1.145
O 4.342 1.487 1.145
O 3.459 3.017 3.267
```